# 1
Here is a geometry-optimized BeV4C2 structure from Alexandria. Energies are from PBE-GGA.

Structure (CIF):
```
data_BeV4C2
_chemical_formula_sum 'Be4 V16 C8'
_space_group_name_H-M_alt 'C m c m'
_space_group_IT_number 63
_space_group_name_Hall '-C 2c 2'
_cell_length_a 2.9905
_cell_length_b 9.6536
_cell_length_c 10.1616
_cell_angle_alpha 90.00
_cell_angle_beta 90.00
_cell_angle_gamma 90.00
loop_
_atom_site_label
_atom_site_fract_x
_atom_site_fract_y
_atom_site_fract_z
Be1 0.0000 0.1110 0.2500
V1 0.0000 0.0000 0.0000
V2 0.0000 0.2645 0.6112
V3 0.0000 0.4294 0.2500
C1 0.0000 0.3643 0.0625
```

E_form = -0.42 eV/atom
M_tot = 0.00 μB per formula unit
VASP energy = -0.64666 Ry/atom


# 2
Here is a geometry-optimized BeV4C structure from Alexandria. Energies are from PBE-GGA.

Structure (CIF):
```
data_BeV4C
_chemical_formula_sum 'Be2 V8 C2'
_space_group_name_H-M_alt 'P 1 21/c 1'
_space_group_IT_number 14
_space_group_name_Hall '-P 2ybc'
_cell_length_a 5.1446
_cell_length_b 5.2115
_cell_length_c 5.2164
_cell_angle_alpha 90.00
_cell_angle_beta 92.86
_cell_angle_gamma 90.00
loop_
_atom_site_label
_atom_site_fract_x
_atom_site_fract_y
_atom_site_fract_z
Be1 0.0000 0.0000 0.0000
V1 0.1532 0.1273 0.3866
V2 0.3784 0.6550 0.3342
C1 0.5000 0.0000 0.5000
```

E_form = -0.05 eV/atom
M_tot = 0.00 μB per formula unit
VASP energy = -0.60926 Ry/atom


# 3
Here is a geometry-optimized BeWC2 structure from Alexandria. Energies are from PBE-GGA.

Structure (CIF):
```
data_BeWC2
_chemical_formula_sum 'Be4 W4 C8'
_space_group_name_H-M_alt 'I -4 2 d'
_space_group_IT_number 122
_space_group_name_Hall 'I -4 2bw'
_cell_length_a 4.4833
_cell_length_b 4.4833
_cell_length_c 9.0736
_cell_angle_alpha 90.00
_cell_angle_beta 90.00
_cell_angle_gamma 90.00
loop_
_atom_site_label
_atom_site_fract_x
_atom_site_fract_y
_atom_site_fract_z
Be1 0.0000 0.0000 0.0000
W1 0.0000 0.0000 0.5000
C1 0.2398 0.2500 0.1250
```

E_form = 0.56 eV/atom
M_tot = 0.00 μB per formula unit
VASP energy = -0.60427 Ry/atom


# 4
Here is a geometry-optimized BeWC3 structure from Alexandria. Energies are from PBE-GGA.

Structure (CIF):
```
data_BeWC3
_chemical_formula_sum 'Be1 W1 C3'
_space_group_name_H-M_alt 'P m -3 m'
_space_group_IT_number 221
_space_group_name_Hall '-P 4 2 3'
_cell_length_a 3.4940
_cell_length_b 3.4940
_cell_length_c 3.4940
_cell_angle_alpha 90.00
_cell_angle_beta 90.00
_cell_angle_gamma 90.00
loop_
_atom_site_label
_atom_site_fract_x
_atom_site_fract_y
_atom_site_fract_z
Be1 0.0000 0.0000 0.0000
W1 0.5000 0.5000 0.5000
C1 0.0000 0.0000 0.5000
```

E_form = 2.16 eV/atom
M_tot = 0.00 μB per formula unit
ΔE to the lowest computed polymorph = 0.000 eV per atom
VASP energy = -0.49300 Ry/atom


# 5
Here is a geometry-optimized BeW2C structure from Alexandria. Energies are from PBE-GGA.

Structure (CIF):
```
data_BeW2C
_chemical_formula_sum 'Be4 W8 C4'
_space_group_name_H-M_alt 'I -4 2 d'
_space_group_IT_number 122
_space_group_name_Hall 'I -4 2bw'
_cell_length_a 4.7815
_cell_length_b 4.7815
_cell_length_c 10.3612
_cell_angle_alpha 90.00
_cell_angle_beta 90.00
_cell_angle_gamma 90.00
loop_
_atom_site_label
_atom_site_fract_x
_atom_site_fract_y
_atom_site_fract_z
Be1 0.0000 0.0000 0.0000
W1 0.1954 0.2500 0.6250
C1 0.0000 0.0000 0.5000
```

E_form = 1.22 eV/atom
M_tot = 0.00 μB per formula unit
ΔE to the lowest computed polymorph = 0.347 eV per atom
VASP energy = -0.62403 Ry/atom


# 6
Here is a geometry-optimized BeWC3 structure from Alexandria. Energies are from PBE-GGA.

Structure (CIF):
```
data_BeWC3
_chemical_formula_sum 'Be1 W1 C3'
_space_group_name_H-M_alt 'P m -3 m'
_space_group_IT_number 221
_space_group_name_Hall '-P 4 2 3'
_cell_length_a 4.0823
_cell_length_b 4.0823
_cell_length_c 4.0823
_cell_angle_alpha 90.00
_cell_angle_beta 90.00
_cell_angle_gamma 90.00
loop_
_atom_site_label
_atom_site_fract_x
_atom_site_fract_y
_atom_site_fract_z
Be1 0.0000 0.0000 0.0000
W1 0.5000 0.5000 0.5000
C1 0.0000 0.5000 0.5000
```

E_form = 2.18 eV/atom
M_tot = 0.00 μB per formula unit
ΔE to the lowest computed polymorph = 0.021 eV per atom
VASP energy = -0.49146 Ry/atom


# 7
Here is a geometry-optimized BeWC structure from Alexandria. Energies are from PBE-GGA.

Structure (CIF):
```
data_BeWC
_chemical_formula_sum 'Be6 W6 C6'
_space_group_name_H-M_alt 'R -3 m'
_space_group_IT_number 166
_space_group_name_Hall '-R 3 2"'
_cell_length_a 3.6295
_cell_length_b 3.6295
_cell_length_c 16.6944
_cell_angle_alpha 90.00
_cell_angle_beta 90.00
_cell_angle_gamma 120.00
loop_
_atom_site_label
_atom_site_fract_x
_atom_site_fract_y
_atom_site_fract_z
Be1 0.0000 0.0000 0.1751
W1 0.0000 0.0000 0.4041
C1 0.0000 0.0000 0.2771
```

E_form = 0.22 eV/atom
M_tot = 0.00 μB per formula unit
VASP energy = -0.61811 Ry/atom


# 8
Here is a geometry-optimized BeW2C structure from Alexandria. Energies are from PBE-GGA.

Structure (CIF):
```
data_BeW2C
_chemical_formula_sum 'Be4 W8 C4'
_space_group_name_H-M_alt 'F m -3 m'
_space_group_IT_number 225
_space_group_name_Hall '-F 4 2 3'
_cell_length_a 5.6366
_cell_length_b 5.6366
_cell_length_c 5.6366
_cell_angle_alpha 90.00
_cell_angle_beta 90.00
_cell_angle_gamma 90.00
loop_
_atom_site_label
_atom_site_fract_x
_atom_site_fract_y
_atom_site_fract_z
Be1 0.0000 0.0000 0.0000
W1 0.2500 0.2500 0.2500
C1 0.0000 0.0000 0.5000
```

E_form = 0.88 eV/atom
M_tot = 0.00 μB per formula unit
ΔE to the lowest computed polymorph = 0.000 eV per atom
VASP energy = -0.64955 Ry/atom


Look up the E_form of the sixth one.
2.18 eV/atom